# 1
DFT (GGA-PBE) results for a geometry-optimized Sc2Tl2Cl structure.

The calculated density comes out at 7.5 g/cm³. The calculation puts the uncorrected formation energy at -0.6069 eV/atom. The density of states at the Fermi level is 7.57 states/eV per cell.

The space group is P4/mbm (No. 127) and the conventional cell measures 6.9968, 6.9968 and 4.8261 Å, with angles of 90.00, 90.00 and 90.00 degrees. Symmetry generates all atoms from Sc at (0.1611, 0.3389, 0.0000), Tl at (0.1536, 0.6536, 0.5000) and Cl at (0.0000, 0.0000, 0.0000).

=====

# 2
DFT (GGA-PBE) results for a geometry-optimized DyLu3B structure.

The calculated density comes out at 9.0 g/cm³. The total DFT energy (no corrections) is -4.934 eV per atom. The density of states at the Fermi level is 5.49 states/eV per cell.

The space group is Pm-3m (No. 221) and the conventional cell measures 5.0518, 5.0518 and 5.0518 Å, with angles of 90.00, 90.00 and 90.00 degrees. Symmetry generates all atoms from Dy at (0.0000, 0.0000, 0.0000), Lu at (0.0000, 0.5000, 0.5000) and B at (0.5000, 0.5000, 0.5000).

=====

# 3
DFT (GGA-PBE) results for a geometry-optimized CeSmIn2 structure.

The calculated density comes out at 7.8 g/cm³. The total DFT energy (no corrections) is -4.452 eV per atom. The density of states at the Fermi level is 7.58 states/eV per cell.

The space group is P4/mmm (No. 123) and the conventional cell measures 3.4961, 3.4961 and 9.0945 Å, with angles of 90.00, 90.00 and 90.00 degrees. Symmetry generates all atoms from Ce at (0.0000, 0.0000, 0.0000), Sm at (0.0000, 0.0000, 0.5000) and In at (0.5000, 0.5000, 0.2520).